(1)
# GGA-PBE CdAg12O7, relaxed
# Total moment ... 0.000 μB/atom
# Formation energy from raw total energies ... -104 meV per atom
data_CdAg12O7
_space_group_name_H-M_alt 'R -3'
_space_group_IT_number 148
_space_group_name_Hall '-R 3'
_cell_length_a 11.5581
_cell_length_b 11.5581
_cell_length_c 8.0368
_cell_angle_alpha 90.00
_cell_angle_beta 90.00
_cell_angle_gamma 120.00
loop_
_atom_site_label
_atom_site_fract_x
_atom_site_fract_y
_atom_site_fract_z
Cd1 0.0000 0.0000 0.0000
Ag1 0.0063 0.5887 0.6687
Ag2 0.0452 0.1946 0.3532
O1 0.0000 0.0000 0.5000
O2 0.0213 0.1783 0.8394

---

(2)
# GGA-PBE Cd2AgO3, relaxed
# Total moment ... 0.001 μB/atom
# Formation energy from raw total energies ... -601 meV per atom
data_Cd2AgO3
_space_group_name_H-M_alt 'C 1 2/c 1'
_space_group_IT_number 15
_space_group_name_Hall '-C 2yc'
_cell_length_a 3.849
_cell_length_b 11.668
_cell_length_c 17.192
_cell_angle_alpha 90.00
_cell_angle_beta 95.11
_cell_angle_gamma 90.00
loop_
_atom_site_label
_atom_site_fract_x
_atom_site_fract_y
_atom_site_fract_z
Cd1 0.009 0.137 0.013
Cd2 0.085 0.461 0.657
Ag1 0.128 0.188 0.672
O1 0.000 0.327 0.750
O2 0.000 0.407 0.250
O3 0.028 0.307 0.568
O4 0.054 0.030 0.596

---

(3)
# GGA-PBE CdAg2O2, relaxed
# Total moment ... 0.000 μB/atom
# Formation energy from raw total energies ... -390 meV per atom
data_CdAg2O2
_space_group_name_H-M_alt 'C 1 2/c 1'
_space_group_IT_number 15
_space_group_name_Hall '-C 2yc'
_cell_length_a 8.796
_cell_length_b 9.758
_cell_length_c 6.159
_cell_angle_alpha 90.00
_cell_angle_beta 133.44
_cell_angle_gamma 90.00
loop_
_atom_site_label
_atom_site_fract_x
_atom_site_fract_y
_atom_site_fract_z
Cd1 0.000 0.060 0.250
Ag1 0.000 0.500 0.000
Ag2 0.250 0.250 0.000
O1 0.197 0.085 0.162

---

(4)
# GGA-PBE CdAg2O4, relaxed
# Total moment ... 0.000 μB/atom
# Formation energy from raw total energies ... -195 meV per atom
data_CdAg2O4
_space_group_name_H-M_alt 'F d d d'
_space_group_IT_number 70
_cell_length_a 6.792
_cell_length_b 10.080
_cell_length_c 13.051
_cell_angle_alpha 90.00
_cell_angle_beta 90.00
_cell_angle_gamma 90.00
loop_
_space_group_symop_operation_xyz
'x,y,z'
'-x,-y,-z'
'-x+1/4,-y+1/4,z'
'x+1/4,y+1/4,-z'
'x,-y+1/4,-z+1/4'
'-x,y+1/4,z+1/4'
'-x+1/4,y,-z+1/4'
'x+1/4,-y,z+1/4'
'x,y+1/2,z+1/2'
'-x,-y+1/2,-z+1/2'
'-x+1/4,-y+3/4,z+1/2'
'x+1/4,y+3/4,-z+1/2'
'x,-y+3/4,-z+3/4'
'-x,y+3/4,z+3/4'
'-x+1/4,y+1/2,-z+3/4'
'x+1/4,-y+1/2,z+3/4'
'x+1/2,y,z+1/2'
'-x+1/2,-y,-z+1/2'
'-x+3/4,-y+1/4,z+1/2'
'x+3/4,y+1/4,-z+1/2'
'x+1/2,-y+1/4,-z+3/4'
'-x+1/2,y+1/4,z+3/4'
'-x+3/4,y,-z+3/4'
'x+3/4,-y,z+3/4'
'x+1/2,y+1/2,z'
'-x+1/2,-y+1/2,-z'
'-x+3/4,-y+3/4,z'
'x+3/4,y+3/4,-z'
'x+1/2,-y+3/4,-z+1/4'
'-x+1/2,y+3/4,z+1/4'
'-x+3/4,y+1/2,-z+1/4'
'x+3/4,-y+1/2,z+1/4'
loop_
_atom_site_label
_atom_site_fract_x
_atom_site_fract_y
_atom_site_fract_z
Cd1 0.125 0.125 0.125
Ag1 0.125 0.125 0.503
O1 0.084 0.325 0.501

---

(5)
# GGA-PBE Cd2AgO3, relaxed
# Total moment ... 0.000 μB/atom
# Formation energy from raw total energies ... -641 meV per atom
data_Cd2AgO3
_space_group_name_H-M_alt 'I m m m'
_space_group_IT_number 71
_space_group_name_Hall '-I 2 2'
_cell_length_a 3.424
_cell_length_b 4.623
_cell_length_c 10.245
_cell_angle_alpha 90.00
_cell_angle_beta 90.00
_cell_angle_gamma 90.00
loop_
_atom_site_label
_atom_site_fract_x
_atom_site_fract_y
_atom_site_fract_z
Cd1 0.000 0.000 0.166
Ag1 0.000 0.000 0.500
O1 0.000 0.500 0.172
O2 0.000 0.500 0.500

---

(6)
# GGA-PBE Cd3AgO, relaxed
# Total moment ... 0.000 μB/atom
# Formation energy from raw total energies ... 615 meV per atom
data_Cd3AgO
_space_group_name_H-M_alt 'P m -3 m'
_space_group_IT_number 221
_space_group_name_Hall '-P 4 2 3'
_cell_length_a 5.232
_cell_length_b 5.232
_cell_length_c 5.232
_cell_angle_alpha 90.00
_cell_angle_beta 90.00
_cell_angle_gamma 90.00
loop_
_atom_site_label
_atom_site_fract_x
_atom_site_fract_y
_atom_site_fract_z
Cd1 0.000 0.000 0.500
Ag1 0.000 0.000 0.000
O1 0.500 0.500 0.500